## Ca2Nd2ZnPt4 (GGA-PBE)

Data for a relaxed Ca2Nd2ZnPt4 crystal.

Summary:
Calculated total energy in eV/f.u.: -44.22
Formation energy from the elements in eV per formula unit: -5.24

a b c (Å): 6.971 6.971 8.676
angles (deg): 90.00 90.00 90.00
Space group I4/mmm (No. 139)
Inequivalent atoms, fractional coordinates:
Ca 0.000 0.500 0.250 [4 per cell]
Nd 0.000 0.000 0.187 [4 per cell]
Zn 0.000 0.000 0.500 [2 per cell]
Pt 0.245 0.245 0.000 [8 per cell]